Sb2IrRh: relaxed, PBE-GGA.

## Properties
Uncorrected formation energy, eV per atom: 0.061
DOS at the Fermi energy, states/eV/f.u.: 5.47

Cell lengths 3.323, 3.336, 6.619 Å; angles 90.00, 90.00, 90.00 degrees
Space group Pmmm (No. 47)
Symmetry-distinct sites (fractional):
Sb  0.000  0.000  0.250 x2
Ir  0.500  0.500  0.000 x1
Rh  0.500  0.500  0.500 x1